Version one
! YThBiTe, optimized geometry, DFT GGA-PBE; values from VASP
! Fermi-level density of states, states/eV per cell: 4.0
! SG: F-43m, No. 216
! Density, Mg/m³: 9.430
&SYSTEM
  ibrav = 0, nat = 4, ntyp = 4
/
ATOMIC_SPECIES
Y 88.91 Y.upf
Te 127.60 Te.upf
Bi 208.98 Bi.upf
Th 232.04 Th.upf
CELL_PARAMETERS angstrom
5.4708 0.0000 0.0000
2.7354 4.7379 0.0000
2.7354 1.5793 4.4669
ATOMIC_POSITIONS crystal
Y 0.0000 0.0000 0.0000
Te 0.7500 0.7500 0.7500
Bi 0.2500 0.2500 0.2500
Th 0.5000 0.5000 0.5000

---

Version two
! YThBiTe, optimized geometry, DFT GGA-PBE; values from VASP
! Fermi-level density of states, states/eV per cell: 2.9
! SG: P4/mmm, No. 123
! Density, Mg/m³: 8.551
&SYSTEM
  ibrav = 0, nat = 4, ntyp = 4
/
ATOMIC_SPECIES
Y 88.91 Y.upf
Th 232.04 Th.upf
Bi 208.98 Bi.upf
Te 127.60 Te.upf
CELL_PARAMETERS angstrom
4.4735 0.0000 0.0000
0.0000 4.4735 0.0000
0.0000 0.0000 6.3802
ATOMIC_POSITIONS crystal
Y 0.5000 0.5000 0.5000
Th 0.0000 0.0000 0.0000
Bi 0.0000 0.0000 0.5000
Te 0.5000 0.5000 0.0000

---

Most stable structure, least stable structure: version two, version one.

---

Version one
! TiBi3Te, optimized geometry, DFT GGA-PBE; values from VASP
! Fermi-level density of states, states/eV per cell: 7.9
! SG: Pm-3m, No. 221
! Density, Mg/m³: 6.780
&SYSTEM
  ibrav = 0, nat = 5, ntyp = 3
/
ATOMIC_SPECIES
Te 127.60 Te.upf
Bi 208.98 Bi.upf
Ti 47.87 Ti.upf
CELL_PARAMETERS angstrom
-3.4622 3.7544 -2.7783
2.7408 -1.1672 -4.9927
-3.7819 -4.2830 -1.0749
ATOMIC_POSITIONS crystal
Te 0.0000 0.0000 0.0000
Bi 0.0000 0.5000 0.0000
Bi 0.0000 0.0000 0.5000
Bi 0.5000 0.0000 0.0000
Ti 0.5000 0.5000 0.5000

---

Version two
! TiBi3Te, optimized geometry, DFT GGA-PBE; values from VASP
! Fermi-level density of states, states/eV per cell: 9.9
! SG: Pm-3m, No. 221
! Density, Mg/m³: 8.366
&SYSTEM
  ibrav = 0, nat = 5, ntyp = 3
/
ATOMIC_SPECIES
Te 127.60 Te.upf
Bi 208.98 Bi.upf
Ti 47.87 Ti.upf
CELL_PARAMETERS angstrom
-1.5794 -5.0758 -1.0598
3.2731 -1.8352 3.9116
-4.0217 0.4998 3.5997
ATOMIC_POSITIONS crystal
Te 0.5000 0.5000 0.5000
Bi 0.0000 0.5000 0.0000
Bi 0.0000 0.0000 0.5000
Bi 0.5000 0.0000 0.0000
Ti 0.0000 0.0000 0.0000

---

Most stable structure, least stable structure: version two, version one.

---

Version one
! Ti2BiTe, optimized geometry, DFT GGA-PBE; values from VASP
! Fermi-level density of states, states/eV per cell: 3.6
! SG: R3m, No. 160
! Density, Mg/m³: 7.793
&SYSTEM
  ibrav = 0, nat = 4, ntyp = 3
/
ATOMIC_SPECIES
Ti 47.87 Ti.upf
Bi 208.98 Bi.upf
Te 127.60 Te.upf
CELL_PARAMETERS angstrom
-1.3070 3.5680 0.5891
-2.7601 0.6314 2.6017
3.6508 2.3968 6.1328
ATOMIC_POSITIONS crystal
Ti 0.0807 0.0807 0.7580
Ti 0.2529 0.2529 0.2412
Bi 0.4997 0.4997 0.5009
Te 0.6667 0.6667 0.9999

---

Version two
! Ti2BiTe, optimized geometry, DFT GGA-PBE; values from VASP
! Fermi-level density of states, states/eV per cell: 19.8
! SG: I-42d, No. 122
! Density, Mg/m³: 5.436
&SYSTEM
  ibrav = 0, nat = 8, ntyp = 3
/
ATOMIC_SPECIES
Te 127.60 Te.upf
Bi 208.98 Bi.upf
Ti 47.87 Ti.upf
CELL_PARAMETERS angstrom
-3.3114 2.7502 4.7849
-4.5717 -4.4929 -0.5815
-0.8787 -4.5349 6.3272
ATOMIC_POSITIONS crystal
Te 0.5000 0.5000 0.0000
Te 0.2500 0.7500 0.5000
Bi 0.0000 0.0000 0.0000
Bi 0.7500 0.2500 0.5000
Ti 0.6179 0.1250 0.2500
Ti 0.1321 0.6250 0.2500
Ti 0.3750 0.3821 0.7500
Ti 0.8750 0.8679 0.7500

---

Version three
! Ti2BiTe, optimized geometry, DFT GGA-PBE; values from VASP
! Fermi-level density of states, states/eV per cell: 3.7
! SG: Fm-3m, No. 225
! Density, Mg/m³: 8.549
&SYSTEM
  ibrav = 0, nat = 4, ntyp = 3
/
ATOMIC_SPECIES
Te 127.60 Te.upf
Bi 208.98 Bi.upf
Ti 47.87 Ti.upf
CELL_PARAMETERS angstrom
3.3784 -1.8874 3.0304
0.0819 1.3389 4.7287
-1.3368 -3.1995 3.4837
ATOMIC_POSITIONS crystal
Te 0.0000 0.0000 0.0000
Bi 0.5000 0.5000 0.5000
Ti 0.2500 0.2500 0.2500
Ti 0.7500 0.7500 0.7500

---

Most stable structure, least stable structure: version one, version two.

---

Version one
! Tl3BiTe3, optimized geometry, DFT GGA-PBE; values from VASP
! SG: C2/m, No. 12
! Density, Mg/m³: 6.792
&SYSTEM
  ibrav = 0, nat = 14, ntyp = 3
/
ATOMIC_SPECIES
Tl 204.38 Tl.upf
Bi 208.98 Bi.upf
Te 127.60 Te.upf
CELL_PARAMETERS angstrom
8.7070 0.1138 0.3330
-3.7771 7.8459 0.3330
-0.4036 -0.6517 8.5163
ATOMIC_POSITIONS crystal
Tl 0.5670 0.5670 0.3265
Tl 0.1780 0.8220 0.5000
Tl 0.8220 0.1780 0.5000
Tl 0.2196 0.7804 0.0000
Tl 0.7804 0.2196 0.0000
Tl 0.4330 0.4330 0.6735
Bi 0.8049 0.8049 0.8812
Bi 0.1951 0.1951 0.1188
Te 0.9054 0.9054 0.2488
Te 0.8370 0.5104 0.7291
Te 0.5104 0.8370 0.7291
Te 0.1630 0.4896 0.2709
Te 0.4896 0.1630 0.2709
Te 0.0946 0.0946 0.7512

---

Version two
! Tl3BiTe3, optimized geometry, DFT GGA-PBE; values from VASP
! SG: I4_132, No. 214
! Density, Mg/m³: 7.012
&SYSTEM
  ibrav = 0, nat = 28, ntyp = 3
/
ATOMIC_SPECIES
Tl 204.38 Tl.upf
Bi 208.98 Bi.upf
Te 127.60 Te.upf
CELL_PARAMETERS angstrom
10.7508 0.0000 -3.8010
-5.3754 9.3105 -3.8010
0.0000 0.0000 11.4030
ATOMIC_POSITIONS crystal
Tl 0.2527 0.0027 0.0054
Tl 0.7500 0.7473 0.7527
Tl 0.5054 0.7527 0.0027
Tl 0.9973 0.2500 0.0027
Tl 0.2473 0.7527 0.2500
Tl 0.5027 0.4973 0.2500
Tl 0.2527 0.2500 0.7473
Tl 0.2473 0.4946 0.4973
Tl 0.7500 0.0027 0.4973
Tl 0.9946 0.4973 0.7473
Tl 0.9973 0.7473 0.4946
Tl 0.5027 0.0054 0.7527
Bi 0.7500 0.5000 0.0000
Bi 0.5000 0.2500 0.5000
Bi 0.7500 0.2500 0.2500
Bi 0.0000 0.0000 0.2500
Te 0.9818 0.4909 0.2409
Te 0.5091 0.0182 0.2591
Te 0.2500 0.0091 0.4909
Te 0.9909 0.7500 0.0091
Te 0.9909 0.2409 0.4818
Te 0.7591 0.0091 0.0182
Te 0.7409 0.4818 0.4909
Te 0.7591 0.7500 0.2409
Te 0.5182 0.2591 0.0091
Te 0.2500 0.2409 0.2591
Te 0.7409 0.2591 0.7500
Te 0.5091 0.4909 0.7500

---

Most stable structure, least stable structure: version two, version one.

---

Version one
! Tl2BiTe, optimized geometry, DFT GGA-PBE; values from VASP
! Fermi-level density of states, states/eV per cell: 3.7
! SG: I-42d, No. 122
! Density, Mg/m³: 6.942
&SYSTEM
  ibrav = 0, nat = 8, ntyp = 3
/
ATOMIC_SPECIES
Tl 204.38 Tl.upf
Te 127.60 Te.upf
Bi 208.98 Bi.upf
CELL_PARAMETERS angstrom
-0.0748 7.0256 -0.4218
-5.9447 0.1628 3.7651
0.8432 3.9994 7.7375
ATOMIC_POSITIONS crystal
Tl 0.6303 0.1250 0.2500
Tl 0.1197 0.6250 0.2500
Tl 0.3750 0.3697 0.7500
Tl 0.8750 0.8803 0.7500
Te 0.5000 0.5000 0.0000
Te 0.2500 0.7500 0.5000
Bi 0.0000 0.0000 0.0000
Bi 0.7500 0.2500 0.5000

---

Version two
! Tl2BiTe, optimized geometry, DFT GGA-PBE; values from VASP
! Fermi-level density of states, states/eV per cell: 2.6
! SG: R-3m, No. 166
! Density, Mg/m³: 7.990
&SYSTEM
  ibrav = 0, nat = 4, ntyp = 3
/
ATOMIC_SPECIES
Tl 204.38 Tl.upf
Te 127.60 Te.upf
Bi 208.98 Bi.upf
CELL_PARAMETERS angstrom
4.1749 0.0000 0.0000
2.0874 3.6155 0.0000
2.0874 1.2052 10.2622
ATOMIC_POSITIONS crystal
Tl 0.1020 0.1020 0.6941
Tl 0.8980 0.8980 0.3059
Te 0.5000 0.5000 0.5000
Bi 0.0000 0.0000 0.0000

---

Most stable structure, least stable structure: version one, version two.

---

Version one
! Tl2BiTe, optimized geometry, DFT GGA-PBE; values from VASP
! Fermi-level density of states, states/eV per cell: 2.5
! SG: Fm-3m, No. 225
! Density, Mg/m³: 9.808
&SYSTEM
  ibrav = 0, nat = 4, ntyp = 3
/
ATOMIC_SPECIES
Tl 204.38 Tl.upf
Te 127.60 Te.upf
Bi 208.98 Bi.upf
CELL_PARAMETERS angstrom
-4.6840 -1.7706 2.5736
-4.6570 3.1608 -0.1429
-4.4335 -1.6557 -3.0498
ATOMIC_POSITIONS crystal
Tl 0.2500 0.2500 0.2500
Tl 0.7500 0.7500 0.7500
Te 0.0000 0.0000 0.0000
Bi 0.5000 0.5000 0.5000

---

Version two
! Tl2BiTe, optimized geometry, DFT GGA-PBE; values from VASP
! Fermi-level density of states, states/eV per cell: 2.6
! SG: P4/mmm, No. 123
! Density, Mg/m³: 9.601
&SYSTEM
  ibrav = 0, nat = 4, ntyp = 3
/
ATOMIC_SPECIES
Tl 204.38 Tl.upf
Te 127.60 Te.upf
Bi 208.98 Bi.upf
CELL_PARAMETERS angstrom
-2.9574 -2.1190 4.1440
0.5822 -4.4293 -1.8493
4.0391 -0.5543 2.5991
ATOMIC_POSITIONS crystal
Tl 0.0000 0.0000 0.5000
Tl 0.0000 0.5000 0.0000
Te 0.5000 0.5000 0.5000
Bi 0.5000 0.0000 0.0000

---

Most stable structure, least stable structure: version two, version one.